No. 1
# MgCoTeO

MgCoTeO after structural relaxation (GGA+U, the Open Quantum Materials Database).

Structure (POSCAR):
```
MgCoTeO
1.0
5.555 0.000 0.000
0.000 7.962 0.000
0.000 0.000 5.553
O Te Co Mg
4 4 4 4
direct
0.997 0.054 0.126
0.503 0.054 0.626
0.003 0.946 0.626
0.497 0.946 0.126
0.499 0.359 0.124
0.999 0.641 0.124
0.501 0.641 0.624
0.001 0.359 0.624
0.497 0.683 0.124
0.003 0.683 0.624
0.997 0.317 0.124
0.503 0.317 0.624
0.250 0.007 0.376
0.750 0.993 0.876
0.250 0.007 0.876
0.750 0.993 0.376
```

As for the size of the total moment: 0.2510 μB/atom. The value obtained for the total energy is -4.776 eV/atom.

***

No. 2
# MgCoTeO

MgCoTeO after structural relaxation (GGA+U, the Open Quantum Materials Database).

Structure (POSCAR):
```
MgCoTeO
1.0
5.699 0.000 0.000
0.000 7.336 0.000
0.000 0.000 7.524
Co Te Mg O
4 4 4 4
direct
0.750 0.250 0.000
0.250 0.250 0.000
0.250 0.750 0.500
0.750 0.750 0.500
0.501 0.026 0.653
0.001 0.474 0.347
0.499 0.526 0.847
0.999 0.974 0.153
0.998 0.490 0.725
0.502 0.510 0.225
0.002 0.990 0.775
0.498 0.010 0.275
0.500 0.249 0.172
0.500 0.749 0.328
0.000 0.251 0.828
0.000 0.751 0.672
```

As for the size of the total moment: 0.2499 μB/atom. The value obtained for the total energy is -4.566 eV/atom.

***

No. 3
# MgCoTeO

MgCoTeO after structural relaxation (GGA+U, the Open Quantum Materials Database).

Structure (POSCAR):
```
MgCoTeO
1.0
-0.237 -0.333 2.899
-2.890 -0.396 -0.282
2.290 -15.285 -1.950
Mg O Te Co
2 2 2 2
direct
0.639 0.995 0.810
0.122 0.505 0.190
0.621 0.005 0.177
0.141 0.496 0.823
0.097 0.501 0.383
0.614 0.998 0.617
0.133 0.502 0.954
0.634 0.998 0.046
```

As for the size of the total moment: 0.0010 μB/atom. The value obtained for the total energy is -4.609 eV/atom.

***

No. 4
# MgCoTeO

MgCoTeO after structural relaxation (GGA+U, the Open Quantum Materials Database).

Structure (POSCAR):
```
MgCoTeO
1.0
-4.360 5.242 -0.680
-5.032 3.002 -3.552
-4.056 -2.952 3.250
O Te Mg Co
2 2 2 2
direct
0.916 0.916 0.026
0.084 0.084 0.526
0.342 0.342 0.518
0.658 0.658 0.018
0.649 0.649 0.505
0.351 0.351 0.005
0.038 0.038 0.844
0.962 0.962 0.344
```

As for the size of the total moment: 0.7374 μB/atom. The value obtained for the total energy is -4.670 eV/atom.